Record 1
# LiAcAu6, relaxed, DFT PBE
# DOS at the Fermi energy   2.960 states/eV/cell
# Spin magnetization   0.000 μB/f.u.
# Crystal system   cubic
# E_form   -2.97 eV per formula unit
# V   173.0 Å³/cell
data_LiAcAu6
_cell_length_a 5.572
_cell_length_b 5.572
_cell_length_c 5.572
_cell_angle_alpha 90.00
_cell_angle_beta 90.00
_cell_angle_gamma 90.00
_space_group_name_H-M_alt 'P m -3'
_space_group_IT_number 200
_space_group_name_Hall '-P 2 2 3'
loop_
_atom_site_label
_atom_site_fract_x
_atom_site_fract_y
_atom_site_fract_z
Li1 0.000 0.000 0.000
Ac1 0.500 0.500 0.500
Au1 0.000 0.500 0.243


Record 2
# Li2AcAu10, relaxed, DFT PBE
# DOS at the Fermi energy   17.643 states/eV/cell
# Spin magnetization   0.000 μB/f.u.
# Crystal system   orthorhombic
# E_form   -5.05 eV per formula unit
# V   995.1 Å³/cell
data_Li2AcAu10
_cell_length_a 5.430
_cell_length_b 13.501
_cell_length_c 13.575
_cell_angle_alpha 90.00
_cell_angle_beta 90.00
_cell_angle_gamma 90.00
_space_group_name_H-M_alt 'F m m m'
_space_group_IT_number 69
_space_group_name_Hall '-F 2 2'
loop_
_atom_site_label
_atom_site_fract_x
_atom_site_fract_y
_atom_site_fract_z
Li1 0.250 0.000 0.250
Ac1 0.000 0.000 0.000
Au1 0.000 0.104 0.384
Au2 0.000 0.166 0.180
Au3 0.250 0.250 0.000


Record 3
# Li2Ac2Au, relaxed, DFT PBE
# DOS at the Fermi energy   6.887 states/eV/cell
# Spin magnetization   0.000 μB/f.u.
# Crystal system   orthorhombic
# E_form   -1.33 eV per formula unit
# V   275.5 Å³/cell
data_Li2Ac2Au
_cell_length_a 5.026
_cell_length_b 5.220
_cell_length_c 10.503
_cell_angle_alpha 90.00
_cell_angle_beta 90.00
_cell_angle_gamma 90.00
_space_group_name_H-M_alt 'I m m m'
_space_group_IT_number 71
_space_group_name_Hall '-I 2 2'
loop_
_atom_site_label
_atom_site_fract_x
_atom_site_fract_y
_atom_site_fract_z
Li1 0.000 0.235 0.000
Ac1 0.000 0.000 0.316
Au1 0.000 0.500 0.500


Record 4
# Li3AcAu3, relaxed, DFT PBE
# DOS at the Fermi energy   3.906 states/eV/cell
# Spin magnetization   0.000 μB/f.u.
# Crystal system   cubic
# E_form   -2.21 eV per formula unit
# V   317.7 Å³/cell
# Relative energy among the computed polymorphs   252 meV/atom
data_Li3AcAu3
_cell_length_a 6.824
_cell_length_b 6.824
_cell_length_c 6.824
_cell_angle_alpha 90.00
_cell_angle_beta 90.00
_cell_angle_gamma 90.00
_space_group_name_H-M_alt 'P m -3 n'
_space_group_IT_number 223
_space_group_name_Hall '-P 4n 2 3'
loop_
_atom_site_label
_atom_site_fract_x
_atom_site_fract_y
_atom_site_fract_z
Li1 0.000 0.250 0.500
Ac1 0.000 0.000 0.000
Au1 0.000 0.500 0.250


Record 5
# Li2AcAu, relaxed, DFT PBE
# DOS at the Fermi energy   2.920 states/eV/cell
# Spin magnetization   0.000 μB/f.u.
# Crystal system   tetragonal
# E_form   -0.79 eV per formula unit
# V   94.1 Å³/cell
# Relative energy among the computed polymorphs   217 meV/atom
data_Li2AcAu
_cell_length_a 3.613
_cell_length_b 3.613
_cell_length_c 7.210
_cell_angle_alpha 90.00
_cell_angle_beta 90.00
_cell_angle_gamma 90.00
_space_group_name_H-M_alt 'P 4/m m m'
_space_group_IT_number 123
_space_group_name_Hall '-P 4 2'
loop_
_atom_site_label
_atom_site_fract_x
_atom_site_fract_y
_atom_site_fract_z
Li1 0.000 0.000 0.167
Ac1 0.500 0.500 0.500
Au1 0.500 0.500 0.000


Record 6
# Li3AcAu4, relaxed, DFT PBE
# DOS at the Fermi energy   2.713 states/eV/cell
# Spin magnetization   0.000 μB/f.u.
# Crystal system   tetragonal
# E_form   -4.11 eV per formula unit
# V   174.8 Å³/cell
data_Li3AcAu4
_cell_length_a 5.001
_cell_length_b 5.001
_cell_length_c 6.988
_cell_angle_alpha 90.00
_cell_angle_beta 90.00
_cell_angle_gamma 90.00
_space_group_name_H-M_alt 'P 4/m m m'
_space_group_IT_number 123
_space_group_name_Hall '-P 4 2'
loop_
_atom_site_label
_atom_site_fract_x
_atom_site_fract_y
_atom_site_fract_z
Li1 0.000 0.000 0.000
Li2 0.500 0.500 0.260
Ac1 0.000 0.000 0.500
Au1 0.000 0.500 0.200


Record 7
# LiAcAu2, relaxed, DFT PBE
# DOS at the Fermi energy   3.345 states/eV/cell
# Spin magnetization   0.000 μB/f.u.
# Crystal system   orthorhombic
# E_form   -2.44 eV per formula unit
# V   210.4 Å³/cell
# Relative energy among the computed polymorphs   126 meV/atom
data_LiAcAu2
_cell_length_a 4.029
_cell_length_b 6.942
_cell_length_c 7.520
_cell_angle_alpha 90.00
_cell_angle_beta 90.00
_cell_angle_gamma 90.00
_space_group_name_H-M_alt 'A m m 2'
_space_group_IT_number 38
loop_
_space_group_symop_operation_xyz
'x,y,z'
'-x,-y,z'
'-x,y,z'
'x,-y,z'
'x,y+1/2,z+1/2'
'-x,-y+1/2,z+1/2'
'-x,y+1/2,z+1/2'
'x,-y+1/2,z+1/2'
loop_
_atom_site_label
_atom_site_fract_x
_atom_site_fract_y
_atom_site_fract_z
Li1 0.000 0.000 0.000
Ac1 0.500 0.000 0.432
Au1 0.000 0.212 0.715


Record 8
# LiAcAu, relaxed, DFT PBE
# DOS at the Fermi energy   9.442 states/eV/cell
# Spin magnetization   0.000 μB/f.u.
# Crystal system   cubic
# E_form   -1.29 eV per formula unit
# V   374.3 Å³/cell
# Relative energy among the computed polymorphs   122 meV/atom
data_LiAcAu
_cell_length_a 7.207
_cell_length_b 7.207
_cell_length_c 7.207
_cell_angle_alpha 90.00
_cell_angle_beta 90.00
_cell_angle_gamma 90.00
_space_group_name_H-M_alt 'F -4 3 m'
_space_group_IT_number 216
_space_group_name_Hall 'F -4 2 3'
loop_
_atom_site_label
_atom_site_fract_x
_atom_site_fract_y
_atom_site_fract_z
Li1 0.000 0.000 0.000
Ac1 0.000 0.000 0.500
Au1 0.250 0.250 0.250


Record 9
# Li2AcMgAu, relaxed, DFT PBE
# DOS at the Fermi energy   6.349 states/eV/cell
# Spin magnetization   0.000 μB/f.u.
# Crystal system   orthorhombic
# E_form   -1.68 eV per formula unit
# V   247.5 Å³/cell
data_Li2AcMgAu
_cell_length_a 4.248
_cell_length_b 4.413
_cell_length_c 13.205
_cell_angle_alpha 90.00
_cell_angle_beta 90.00
_cell_angle_gamma 90.00
_space_group_name_H-M_alt 'I m m 2'
_space_group_IT_number 44
loop_
_space_group_symop_operation_xyz
'x,y,z'
'-x,-y,z'
'-x,y,z'
'x,-y,z'
'x+1/2,y+1/2,z+1/2'
'-x+1/2,-y+1/2,z+1/2'
'-x+1/2,y+1/2,z+1/2'
'x+1/2,-y+1/2,z+1/2'
loop_
_atom_site_label
_atom_site_fract_x
_atom_site_fract_y
_atom_site_fract_z
Li1 0.000 0.000 0.000
Li2 0.000 0.500 0.346
Ac1 0.000 0.500 0.726
Mg1 0.000 0.000 0.493
Au1 0.000 0.500 0.139


Record 10
# LiAcMg2Au2, relaxed, DFT PBE
# DOS at the Fermi energy   9.023 states/eV/cell
# Spin magnetization   0.000 μB/f.u.
# Crystal system   tetragonal
# E_form   -1.60 eV per formula unit
# V   311.8 Å³/cell
data_LiAcMg2Au2
_cell_length_a 4.634
_cell_length_b 4.634
_cell_length_c 14.516
_cell_angle_alpha 90.00
_cell_angle_beta 90.00
_cell_angle_gamma 90.00
_space_group_name_H-M_alt 'I 4/m m m'
_space_group_IT_number 139
_space_group_name_Hall '-I 4 2'
loop_
_atom_site_label
_atom_site_fract_x
_atom_site_fract_y
_atom_site_fract_z
Li1 0.000 0.000 0.000
Ac1 0.000 0.000 0.500
Mg1 0.000 0.500 0.250
Au1 0.000 0.000 0.157


Record 11
# LiAcMgAu, relaxed, DFT PBE
# DOS at the Fermi energy   19.162 states/eV/cell
# Spin magnetization   0.000 μB/f.u.
# Crystal system   cubic
# E_form   -1.46 eV per formula unit
# V   399.3 Å³/cell
# Relative energy among the computed polymorphs   63 meV/atom
data_LiAcMgAu
_cell_length_a 7.364
_cell_length_b 7.364
_cell_length_c 7.364
_cell_angle_alpha 90.00
_cell_angle_beta 90.00
_cell_angle_gamma 90.00
_space_group_name_H-M_alt 'F -4 3 m'
_space_group_IT_number 216
_space_group_name_Hall 'F -4 2 3'
loop_
_atom_site_label
_atom_site_fract_x
_atom_site_fract_y
_atom_site_fract_z
Li1 0.000 0.000 0.000
Ac1 0.250 0.250 0.750
Mg1 0.250 0.250 0.250
Au1 0.000 0.000 0.500


Record 12
# LiAcMgAu, relaxed, DFT PBE
# DOS at the Fermi energy   6.109 states/eV/cell
# Spin magnetization   0.000 μB/f.u.
# Crystal system   monoclinic
# E_form   -1.71 eV per formula unit
# V   206.4 Å³/cell
# Relative energy among the computed polymorphs   0 meV/atom
data_LiAcMgAu
_cell_length_a 8.304
_cell_length_b 4.798
_cell_length_c 5.879
_cell_angle_alpha 90.00
_cell_angle_beta 118.23
_cell_angle_gamma 90.00
_space_group_name_H-M_alt 'C 1 m 1'
_space_group_IT_number 8
loop_
_space_group_symop_operation_xyz
'x,y,z'
'x,-y,z'
'x+1/2,y+1/2,z'
'x+1/2,-y+1/2,z'
loop_
_atom_site_label
_atom_site_fract_x
_atom_site_fract_y
_atom_site_fract_z
Li1 0.000 0.000 0.000
Ac1 0.296 0.500 0.388
Mg1 0.286 0.000 0.857
Au1 0.092 0.500 0.776


Record 13
# Li2Ac3MgAu6, relaxed, DFT PBE
# DOS at the Fermi energy   5.846 states/eV/cell
# Spin magnetization   0.000 μB/f.u.
# Crystal system   trigonal
# E_form   -6.94 eV per formula unit
# V   313.6 Å³/cell
data_Li2Ac3MgAu6
_cell_length_a 6.5372
_cell_length_b 6.5372
_cell_length_c 8.4745
_cell_angle_alpha 90.00
_cell_angle_beta 90.00
_cell_angle_gamma 120.00
_space_group_name_H-M_alt 'P -3 m 1'
_space_group_IT_number 164
_space_group_name_Hall '-P 3 2"'
loop_
_atom_site_label
_atom_site_fract_x
_atom_site_fract_y
_atom_site_fract_z
Li1 0.3333 0.6667 0.0383
Ac1 0.0000 0.0000 0.0000
Ac2 0.3333 0.6667 0.6271
Mg1 0.0000 0.0000 0.5000
Au1 0.1841 0.3682 0.2835


Record 14
# Li2Ac3Mg2Au4, relaxed, DFT PBE
# DOS at the Fermi energy   9.001 states/eV/cell
# Spin magnetization   0.000 μB/f.u.
# Crystal system   trigonal
# E_form   -6.16 eV per formula unit
# V   292.1 Å³/cell
data_Li2Ac3Mg2Au4
_cell_length_a 4.6718
_cell_length_b 4.6718
_cell_length_c 15.4535
_cell_angle_alpha 90.00
_cell_angle_beta 90.00
_cell_angle_gamma 120.00
_space_group_name_H-M_alt 'P -3 m 1'
_space_group_IT_number 164
_space_group_name_Hall '-P 3 2"'
loop_
_atom_site_label
_atom_site_fract_x
_atom_site_fract_y
_atom_site_fract_z
Li1 0.3333 0.6667 0.1361
Ac1 0.0000 0.0000 0.0000
Ac2 0.0000 0.0000 0.2702
Mg1 0.3333 0.6667 0.5603
Au1 0.3333 0.6667 0.3832
Au2 0.3333 0.6667 0.8690


Record 15
# Li2AcMgAu5, relaxed, DFT PBE
# DOS at the Fermi energy   3.990 states/eV/cell
# Spin magnetization   0.000 μB/f.u.
# Crystal system   tetragonal
# E_form   -4.58 eV per formula unit
# V   181.9 Å³/cell
data_Li2AcMgAu5
_cell_length_a 4.891
_cell_length_b 4.891
_cell_length_c 7.605
_cell_angle_alpha 90.00
_cell_angle_beta 90.00
_cell_angle_gamma 90.00
_space_group_name_H-M_alt 'P 4/m m m'
_space_group_IT_number 123
_space_group_name_Hall '-P 4 2'
loop_
_atom_site_label
_atom_site_fract_x
_atom_site_fract_y
_atom_site_fract_z
Li1 0.000 0.000 0.160
Ac1 0.500 0.500 0.500
Mg1 0.500 0.500 0.000
Au1 0.000 0.000 0.500
Au2 0.000 0.500 0.203


Record 16
# Li2AcMgAu4, relaxed, DFT PBE
# DOS at the Fermi energy   10.267 states/eV/cell
# Spin magnetization   0.000 μB/f.u.
# Crystal system   trigonal
# E_form   -5.15 eV per formula unit
# V   498.5 Å³/cell
data_Li2AcMgAu4
_cell_length_a 4.6102
_cell_length_b 4.6102
_cell_length_c 27.0847
_cell_angle_alpha 90.00
_cell_angle_beta 90.00
_cell_angle_gamma 120.00
_space_group_name_H-M_alt 'R -3 m'
_space_group_IT_number 166
_space_group_name_Hall '-R 3 2"'
loop_
_atom_site_label
_atom_site_fract_x
_atom_site_fract_y
_atom_site_fract_z
Li1 0.0000 0.0000 0.2317
Ac1 0.0000 0.0000 0.0000
Mg1 0.0000 0.0000 0.5000
Au1 0.0000 0.0000 0.1273
Au2 0.0000 0.0000 0.4005


Record 17
# LiAcMgAu2, relaxed, DFT PBE
# DOS at the Fermi energy   5.650 states/eV/cell
# Spin magnetization   0.000 μB/f.u.
# Crystal system   tetragonal
# E_form   -3.34 eV per formula unit
# V   235.0 Å³/cell
data_LiAcMgAu2
_cell_length_a 4.199
_cell_length_b 4.199
_cell_length_c 13.326
_cell_angle_alpha 90.00
_cell_angle_beta 90.00
_cell_angle_gamma 90.00
_space_group_name_H-M_alt 'I -4 m 2'
_space_group_IT_number 119
_space_group_name_Hall 'I -4 -2'
loop_
_atom_site_label
_atom_site_fract_x
_atom_site_fract_y
_atom_site_fract_z
Li1 0.000 0.000 0.000
Ac1 0.000 0.500 0.250
Mg1 0.000 0.000 0.500
Au1 0.000 0.500 0.637


Record 18
# LiAc2MgAu6, relaxed, DFT PBE
# DOS at the Fermi energy   7.862 states/eV/cell
# Spin magnetization   0.000 μB/f.u.
# Crystal system   monoclinic
# E_form   -5.19 eV per formula unit
# V   477.0 Å³/cell
data_LiAc2MgAu6
_cell_length_a 9.846
_cell_length_b 9.823
_cell_length_c 6.958
_cell_angle_alpha 90.00
_cell_angle_beta 134.86
_cell_angle_gamma 90.00
_space_group_name_H-M_alt 'C 1 2/m 1'
_space_group_IT_number 12
loop_
_space_group_symop_operation_xyz
'x,y,z'
'-x,-y,-z'
'-x,y,-z'
'x,-y,z'
'x+1/2,y+1/2,z'
'-x+1/2,-y+1/2,-z'
'-x+1/2,y+1/2,-z'
'x+1/2,-y+1/2,z'
loop_
_atom_site_label
_atom_site_fract_x
_atom_site_fract_y
_atom_site_fract_z
Li1 0.000 0.000 0.000
Ac1 0.000 0.250 0.500
Mg1 0.000 0.500 0.000
Au1 0.000 0.238 0.000
Au2 0.239 0.000 0.000
Au3 0.239 0.000 0.477


Record 19
# Li2AcAuN, relaxed, DFT PBE
# ΔE_f (raw)   -535 meV per atom
# DOS at the Fermi energy   9.705 states/eV/cell
# Spin magnetization   0.000 μB/f.u.
# Crystal system   tetragonal
# V   405.3 Å³/cell
data_Li2AcAuN
_cell_length_a 6.297
_cell_length_b 6.297
_cell_length_c 10.221
_cell_angle_alpha 90.00
_cell_angle_beta 90.00
_cell_angle_gamma 90.00
_space_group_name_H-M_alt 'I 4 c m'
_space_group_IT_number 108
_space_group_name_Hall 'I 4 -2c'
loop_
_atom_site_label
_atom_site_fract_x
_atom_site_fract_y
_atom_site_fract_z
Li1 0.248 0.252 0.000
Ac1 0.000 0.000 0.250
Au1 0.000 0.500 0.252
N1 0.000 0.000 0.001


Record 20
# NaLi2AcAu2, relaxed, DFT PBE
# DOS at the Fermi energy   2.325 states/eV/cell
# Spin magnetization   0.000 μB/f.u.
# Crystal system   trigonal
# E_form   -2.96 eV per formula unit
# V   138.6 Å³/cell
data_NaLi2AcAu2
_cell_length_a 4.6280
_cell_length_b 4.6280
_cell_length_c 7.4734
_cell_angle_alpha 90.00
_cell_angle_beta 90.00
_cell_angle_gamma 120.00
_space_group_name_H-M_alt 'P -3 m 1'
_space_group_IT_number 164
_space_group_name_Hall '-P 3 2"'
loop_
_atom_site_label
_atom_site_fract_x
_atom_site_fract_y
_atom_site_fract_z
Na1 0.0000 0.0000 0.0000
Li1 0.3333 0.6667 0.8483
Ac1 0.0000 0.0000 0.5000
Au1 0.3333 0.6667 0.2382